DFT (GGA-PBE) results for Pr6Dy5Er after structural relaxation.

**N(E_F)**: 13.1 states/eV/cell
**Excess energy over the best structure of this formula in the dataset**: 0 meV per atom
**Crystal system**: monoclinic
**Magnetization**: 0.00 μB per formula unit

abc: 6.302 6.302 11.879
angles: 95.06 95.06 120.00
Element x y z (fractional)
Pr (0.083, 0.416, 0.250)
Pr (0.250, 0.250, 0.750)
Pr (0.416, 0.083, 0.250)
Pr (0.584, 0.917, 0.750)
Pr (0.750, 0.750, 0.250)
Pr (0.917, 0.584, 0.750)
Dy (0.167, 0.833, 0.500)
Dy (0.333, 0.667, 0.000)
Dy (0.500, 0.500, 0.500)
Dy (0.667, 0.333, 0.000)
Dy (0.833, 0.167, 0.500)
Er (0.000, 0.000, 0.000)

=====

DFT (GGA-PBE) results for Pr3Dy2Er after structural relaxation.

**N(E_F)**: 10.3 states/eV/cell
**Excess energy over the best structure of this formula in the dataset**: 331 meV per atom
**Crystal system**: orthorhombic
**Magnetization**: 0.00 μB per formula unit

abc: 10.431 10.431 10.431
angles: 160.69 146.67 38.81
Element x y z (fractional)
Pr (0.000, 0.000, 0.000)
Pr (0.312, 0.812, 0.500)
Pr (0.688, 0.188, 0.500)
Dy (0.137, 0.637, 0.500)
Dy (0.863, 0.363, 0.500)
Er (0.500, 0.000, 0.500)